Material: DySc2O
Method: DFT, PBE
State: optimized geometry

Values from the calculation:
* offset from the most stable computed form: 552.8 meV/atom
* raw total energy: -6.40 eV per atom
* formation energy without anion corrections: -0.845 eV per atom
* density of states at the Fermi level: 5.5 states/eV/cell

```
DySc2O
1.0
2.9910 0.0000 0.0000
0.0000 2.9910 0.0000
0.0000 0.0000 8.2901
Dy Sc O
1 2 1
direct
0.0000 0.0000 0.0000
0.5000 0.5000 0.3296
0.5000 0.5000 0.6704
0.0000 0.0000 0.5000
```

Material: AcIn4Ge2
Method: DFT, PBE
State: optimized geometry

Values from the calculation:
* raw total energy: -3.67 eV per atom
* density of states at the Fermi level: 6.1 states/eV/cell
* energy of formation from the pure elements: -195 meV/atom

```
AcIn4Ge2
1.0
4.4332 0.0000 0.0000
0.0000 19.1531 0.0000
0.0000 0.0000 4.4771
Ac In Ge
2 8 4
direct
0.0000 0.0000 0.0000
0.5000 0.5000 0.0000
0.0000 0.1794 0.5000
0.0000 0.3295 0.0000
0.0000 0.6705 0.0000
0.0000 0.8206 0.5000
0.5000 0.1705 0.0000
0.5000 0.3206 0.5000
0.5000 0.6794 0.5000
0.5000 0.8295 0.0000
0.0000 0.4339 0.5000
0.0000 0.5661 0.5000
0.5000 0.0661 0.5000
0.5000 0.9339 0.5000
```

Material: La6PmPd3
Method: DFT, PBE
State: optimized geometry

Values from the calculation:
* raw total energy: -5.44 eV per atom
* density of states at the Fermi level: 24.4 states/eV/cell
* energy of formation from the pure elements: -451 meV/atom

```
La6PmPd3
1.0
5.9841 -6.8916 0.0000
5.9841 6.8916 0.0000
0.0000 0.0000 7.5457
La Pm Pd
12 2 6
direct
0.0299 0.4195 0.6677
0.0389 0.9611 0.5000
0.2290 0.7710 0.8540
0.2881 0.3760 0.0163
0.3760 0.2881 0.5163
0.4195 0.0299 0.1677
0.5805 0.9701 0.6677
0.6240 0.7119 0.0163
0.7119 0.6240 0.5163
0.7710 0.2290 0.3540
0.9611 0.0389 0.0000
0.9701 0.5805 0.1677
0.3247 0.6753 0.3829
0.6753 0.3247 0.8829
0.0956 0.2768 0.3081
0.2768 0.0956 0.8081
0.4283 0.5717 0.7186
0.5717 0.4283 0.2186
0.7232 0.9044 0.3081
0.9044 0.7232 0.8081
```

Material: NpTaP2Ru
Method: DFT, PBE
State: optimized geometry

Values from the calculation:
* raw total energy: -9.55 eV per atom
* density of states at the Fermi level: 19.9 states/eV/cell
* energy of formation from the pure elements: -568 meV/atom

```
NpTaP2Ru
1.0
3.8647 0.0000 0.0000
0.0000 3.8647 0.0000
0.0000 0.0000 11.3823
Np Ta P Ru
2 2 4 2
direct
0.0000 0.0000 0.0000
0.5000 0.5000 0.5000
0.0000 0.5000 0.7500
0.5000 0.0000 0.2500
0.0000 0.0000 0.3891
0.0000 0.0000 0.6109
0.5000 0.5000 0.1109
0.5000 0.5000 0.8891
0.0000 0.5000 0.2500
0.5000 0.0000 0.7500
```